# 1
# PBE Ca2Pm5Pr, relaxed
data_Ca2Pm5Pr
_space_group_name_H-M_alt 'I 4/m m m'
_space_group_IT_number 139
_space_group_name_Hall '-I 4 2'
_cell_length_a 5.230
_cell_length_b 5.230
_cell_length_c 21.175
_cell_angle_alpha 90.00
_cell_angle_beta 90.00
_cell_angle_gamma 90.00
loop_
_atom_site_label
_atom_site_fract_x
_atom_site_fract_y
_atom_site_fract_z
Ca1 0.000 0.000 0.250
Pm1 0.000 0.000 0.000
Pm2 0.000 0.500 0.118
Pr1 0.000 0.000 0.500
# V, Å³ per cell: 579.26
# Formation energy, kJ/mol of formula units: 38

***

# 2
# PBE CaPm4Pr15, relaxed
data_CaPm4Pr15
_space_group_name_H-M_alt 'P 4/m m m'
_space_group_IT_number 123
_space_group_name_Hall '-P 4 2'
_cell_length_a 5.256
_cell_length_b 5.256
_cell_length_c 26.136
_cell_angle_alpha 90.00
_cell_angle_beta 90.00
_cell_angle_gamma 90.00
loop_
_atom_site_label
_atom_site_fract_x
_atom_site_fract_y
_atom_site_fract_z
Ca1 0.000 0.000 0.000
Pm1 0.000 0.000 0.200
Pm2 0.000 0.000 0.400
Pr1 0.000 0.500 0.103
Pr2 0.000 0.500 0.301
Pr3 0.000 0.500 0.500
Pr4 0.500 0.500 0.000
Pr5 0.500 0.500 0.200
Pr6 0.500 0.500 0.400
# V, Å³ per cell: 722.04
# Formation energy, kJ/mol of formula units: 38

***

# 3
# PBE Ca3PmPr12, relaxed
data_Ca3PmPr12
_space_group_name_H-M_alt 'P 4/m m m'
_space_group_IT_number 123
_space_group_name_Hall '-P 4 2'
_cell_length_a 5.270
_cell_length_b 5.270
_cell_length_c 21.071
_cell_angle_alpha 90.00
_cell_angle_beta 90.00
_cell_angle_gamma 90.00
loop_
_atom_site_label
_atom_site_fract_x
_atom_site_fract_y
_atom_site_fract_z
Ca1 0.000 0.000 0.000
Ca2 0.000 0.000 0.251
Pm1 0.000 0.000 0.500
Pr1 0.000 0.500 0.126
Pr2 0.000 0.500 0.378
Pr3 0.500 0.500 0.000
Pr4 0.500 0.500 0.250
Pr5 0.500 0.500 0.500
# V, Å³ per cell: 585.21
# Formation energy, kJ/mol of formula units: 74

***

# 4
# PBE CaPm3Pr4, relaxed
data_CaPm3Pr4
_space_group_name_H-M_alt 'P m n a'
_space_group_IT_number 53
_cell_length_a 7.410
_cell_length_b 10.443
_cell_length_c 7.406
_cell_angle_alpha 90.00
_cell_angle_beta 90.00
_cell_angle_gamma 90.00
loop_
_space_group_symop_operation_xyz
'x,y,z'
'-x,-y,-z'
'-x+1/2,-y,z+1/2'
'x+1/2,y,-z+1/2'
'x,-y,-z'
'-x,y,z'
'-x+1/2,y,-z+1/2'
'x+1/2,-y,z+1/2'
loop_
_atom_site_label
_atom_site_fract_x
_atom_site_fract_y
_atom_site_fract_z
Ca1 0.000 0.000 0.000
Pm1 0.000 0.500 0.000
Pm2 0.250 0.256 0.250
Pr1 0.000 0.000 0.500
Pr2 0.000 0.500 0.500
Pr3 0.250 0.256 0.750
# V, Å³ per cell: 573.11
# Formation energy, kJ/mol of formula units: 27